# 1
## KOs2Au (PBE)

Data for KOs2Au after structural relaxation.

Properties
- ΔE to the lowest computed polymorph: 3.77 kJ/mol of atoms
- Energy relative to the elements: 583 meV/atom

Cell lengths 2.885, 2.885, 9.303 Å; angles 90.00, 90.00, 90.00 degrees
Last column: magnetic moment on the atom in μB.
Sites, in units of the cell vectors:
Au1 0.000 0.000 0.457  0.01
K1 0.500 0.500 0.754  0.02
Os1 0.500 0.500 0.228  0.12
Os2 0.000 0.000 0.062  0.29


# 2
## Nd8Sb2P3 (PBE)

Data for Nd8Sb2P3 after structural relaxation.

Properties
- Formation energy (no corrections): -1210 kJ/mol of formula units

Cell lengths 7.149, 8.185, 8.772 Å; angles 117.81, 104.45, 90.00 degrees
Sites, in units of the cell vectors:
Nd1 0.899 0.107 0.214
Nd2 0.605 0.645 0.789
Nd3 0.101 0.893 0.786
Nd4 0.605 0.144 0.789
Nd5 0.884 0.596 0.192
Nd6 0.395 0.355 0.211
Nd7 0.395 0.856 0.211
Nd8 0.116 0.404 0.808
Sb1 0.669 0.748 0.496
Sb2 0.331 0.252 0.504
P1 0.000 0.243 0.000
P2 0.500 0.000 0.000
P3 0.000 0.757 0.000


# 3
## Sr2LiCd4Ge3 (PBE)

Data for Sr2LiCd4Ge3 after structural relaxation.

Properties
- Energy relative to the elements: -323 meV/atom

Cell lengths 4.505, 4.505, 11.972 Å; angles 90.00, 90.00, 90.00 degrees
Sites, in units of the cell vectors:
Sr1 0.500 0.000 0.244
Sr2 0.000 0.500 0.756
Cd1 0.500 0.000 0.631
Cd2 0.000 0.500 0.369
Cd3 0.000 0.000 0.000
Cd4 0.500 0.500 0.000
Ge1 0.500 0.000 0.857
Ge2 0.000 0.000 0.500
Ge3 0.000 0.500 0.143
Li1 0.500 0.500 0.500